NaPuAg2S4, optimized geometry, DFT GGA-PBE; uncorrected energy = -85.22 eV per cell; raw formation energy = -0.594 eV per atom; DOS(E_F) = 1.469 states/eV/atom
1.0
6.815 0.000 0.000
0.000 6.901 0.000
0.000 0.000 7.493
Na Pu Ag S
2 2 4 8
direct
0.000 0.000 0.000
0.500 0.500 0.500
0.000 0.000 0.500
0.500 0.500 0.000
0.000 0.500 0.209
0.000 0.500 0.791
0.500 0.000 0.291
0.500 0.000 0.709
0.237 0.242 0.324
0.237 0.758 0.676
0.263 0.258 0.824
0.263 0.742 0.176
0.737 0.258 0.176
0.737 0.742 0.824
0.763 0.242 0.676
0.763 0.758 0.324